Material: Gd2TeIr
Method: DFT, PBE
State: relaxed

Summary:
As for the space group: R-3m. As for the raw formation energy: -24.27 kcal/mol of atoms. The energy above the most stable polymorph in this dataset comes out at 0.0 meV/atom. The density of states at the Fermi level comes out at 1.9 states/eV/f.u.

Cell: 4.169 4.169 7.671 Å, 74.23 74.23 60.00°
Site moments in Bohr magnetons follow the coordinates.
Fractional coordinates of all 4 atoms:
Gd  0.264  0.264  0.209  7.02
Gd  0.736  0.736  0.791  7.02
Ir  0.000  0.000  0.000  0.03
Te  0.500  0.500  0.500  -0.02

Material: Na3InSn2
Method: DFT, PBE
State: relaxed

Summary:
The formation energy is -0.085 eV per atom. As for the space group: C2/m. The density of states at the Fermi level comes out at 2.1 states/eV/f.u.

Cell: 3.344 9.615 12.503 Å, 59.13 82.31 79.98°
Fractional coordinates of all 12 atoms:
Na  0.991  0.172  0.847
Na  0.009  0.828  0.153
Na  0.646  0.815  0.893
Na  0.354  0.185  0.107
Na  0.780  0.829  0.611
Na  0.220  0.171  0.389
In  0.432  0.500  0.636
In  0.568  0.500  0.364
Sn  0.818  0.492  0.871
Sn  0.182  0.508  0.129
Sn  0.602  0.179  0.617
Sn  0.398  0.821  0.383

Material: GaBS
Method: DFT, PBE
State: relaxed

Summary:
As for the space group: P-1. As for the raw formation energy: -1.35 kcal/mol of atoms. The density of states at the Fermi level comes out at 0.5 states/eV/f.u.

Cell: 3.411 5.253 7.743 Å, 127.03 90.07 108.76°
Fractional coordinates of all 6 atoms:
Ga  0.009  0.017  0.766
Ga  0.991  0.983  0.234
B  0.441  0.881  0.360
B  0.559  0.119  0.640
S  0.797  0.597  0.826
S  0.203  0.403  0.174

Material: Er5CoRu4
Method: DFT, PBE
State: relaxed

Summary:
The formation energy is -0.353 eV per atom. As for the space group: P4/mmm. The density of states at the Fermi level comes out at 12.0 states/eV/f.u.

Cell: 3.371 3.371 16.696 Å, 90.00 90.00 90.00°
Site moments in Bohr magnetons follow the coordinates.
Fractional coordinates of all 10 atoms:
Er  0.500  0.500  0.098  0.13
Er  0.500  0.500  0.298  0.00
Er  0.500  0.500  0.500  0.00
Er  0.500  0.500  0.702  0.00
Er  0.500  0.500  0.902  0.13
Co  0.000  0.000  0.000  -0.77
Ru  0.000  0.000  0.195  -0.03
Ru  0.000  0.000  0.399  -0.02
Ru  0.000  0.000  0.601  -0.02
Ru  0.000  0.000  0.805  -0.03

Material: PmPaNiSb
Method: DFT, PBE
State: relaxed

Summary:
As for the space group: F-43m. As for the raw formation energy: -3.59 kcal/mol of atoms. The density of states at the Fermi level comes out at 8.1 states/eV/f.u.

Cell: 5.162 5.162 5.162 Å, 60.00 60.00 60.00°
Site moments in Bohr magnetons follow the coordinates.
Fractional coordinates of all 4 atoms:
Sb  0.750  0.750  0.750  -0.01
Pa  0.500  0.500  0.500  1.21
Ni  0.250  0.250  0.250  0.18
Pm  0.000  0.000  0.000  0.34